one.
# Dy5Er2Sc2 (GGA-PBE, optimized geometry)
# Space group: C2/m, No. 12
data_Dy5Er2Sc2
_chemical_formula_sum 'Dy5 Er2 Sc2'
_symmetry_space_group_name_H-M 'P 1'
_symmetry_Int_Tables_number 1
_cell_length_a 3.432
_cell_length_b 8.969
_cell_length_c 11.110
_cell_angle_alpha 53.85
_cell_angle_beta 81.11
_cell_angle_gamma 78.97
loop_
_symmetry_equiv_pos_as_xyz
'x,y,z'
loop_
_atom_site_label
_atom_site_fract_x
_atom_site_fract_y
_atom_site_fract_z
_atom_site_occupancy
Dy1 0.340 0.099 0.220 1
Dy2 0.660 0.901 0.780 1
Dy3 0.168 0.565 0.098 1
Dy4 0.832 0.435 0.902 1
Dy5 0.000 0.000 0.000 1
Er1 0.145 0.242 0.467 1
Er2 0.855 0.758 0.533 1
Sc1 0.489 0.346 0.677 1
Sc2 0.511 0.654 0.323 1

***

two.
# Dy5Er2Sc2 (GGA-PBE, optimized geometry)
# Space group: Ima2, No. 46
data_Dy5Er2Sc2
_chemical_formula_sum 'Dy10 Er4 Sc4'
_symmetry_space_group_name_H-M 'P 1'
_symmetry_Int_Tables_number 1
_cell_length_a 8.289
_cell_length_b 6.900
_cell_length_c 11.010
_cell_angle_alpha 108.26
_cell_angle_beta 112.11
_cell_angle_gamma 90.00
loop_
_symmetry_equiv_pos_as_xyz
'x,y,z'
loop_
_atom_site_label
_atom_site_fract_x
_atom_site_fract_y
_atom_site_fract_z
_atom_site_occupancy
Dy1 0.162 0.682 0.781 1
Dy2 0.838 0.900 0.219 1
Dy3 0.119 0.182 0.781 1
Dy4 0.881 0.400 0.219 1
Dy5 0.413 0.956 0.328 1
Dy6 0.587 0.628 0.672 1
Dy7 0.415 0.456 0.328 1
Dy8 0.585 0.128 0.672 1
Dy9 0.204 0.793 0.500 1
Dy10 0.796 0.293 0.500 1
Er1 0.000 0.010 0.000 1
Er2 0.500 0.510 0.000 1
Er3 0.194 0.289 0.500 1
Er4 0.806 0.789 0.500 1
Sc1 0.174 0.580 0.082 1
Sc2 0.826 0.498 0.918 1
Sc3 0.408 0.080 0.082 1
Sc4 0.592 0.998 0.918 1

***

So which one is most stable? That would be one, about 10.2 kJ/mol of atoms below the next structure.

***

one.
# Dy6Er2Sc (GGA-PBE, optimized geometry)
# Space group: C2/m, No. 12
data_Dy6Er2Sc
_chemical_formula_sum 'Dy6 Er2 Sc1'
_symmetry_space_group_name_H-M 'P 1'
_symmetry_Int_Tables_number 1
_cell_length_a 4.949
_cell_length_b 6.065
_cell_length_c 27.367
_cell_angle_alpha 148.23
_cell_angle_beta 90.00
_cell_angle_gamma 114.08
loop_
_symmetry_equiv_pos_as_xyz
'x,y,z'
loop_
_atom_site_label
_atom_site_fract_x
_atom_site_fract_y
_atom_site_fract_z
_atom_site_occupancy
Dy1 0.223 0.447 0.445 1
Dy2 0.777 0.553 0.555 1
Dy3 0.898 0.797 0.781 1
Dy4 0.550 0.100 0.109 1
Dy5 0.102 0.203 0.219 1
Dy6 0.450 0.900 0.891 1
Er1 0.658 0.316 0.330 1
Er2 0.342 0.684 0.670 1
Sc1 0.000 0.000 0.000 1

***

two.
# Dy6Er2Sc (GGA-PBE, optimized geometry)
# Space group: C2/c, No. 15
data_Dy6Er2Sc
_chemical_formula_sum 'Dy12 Er4 Sc2'
_symmetry_space_group_name_H-M 'P 1'
_symmetry_Int_Tables_number 1
_cell_length_a 7.053
_cell_length_b 9.434
_cell_length_c 9.434
_cell_angle_alpha 80.70
_cell_angle_beta 71.21
_cell_angle_gamma 71.21
loop_
_symmetry_equiv_pos_as_xyz
'x,y,z'
loop_
_atom_site_label
_atom_site_fract_x
_atom_site_fract_y
_atom_site_fract_z
_atom_site_occupancy
Dy1 0.481 0.648 0.363 1
Dy2 0.019 0.637 0.352 1
Dy3 0.519 0.352 0.637 1
Dy4 0.981 0.363 0.648 1
Dy5 0.772 0.007 0.444 1
Dy6 0.728 0.556 0.993 1
Dy7 0.228 0.993 0.556 1
Dy8 0.272 0.444 0.007 1
Dy9 0.215 0.826 0.964 1
Dy10 0.285 0.036 0.174 1
Dy11 0.785 0.174 0.036 1
Dy12 0.715 0.964 0.826 1
Er1 0.105 0.663 0.694 1
Er2 0.395 0.306 0.337 1
Er3 0.895 0.337 0.306 1
Er4 0.605 0.694 0.663 1
Sc1 0.250 0.160 0.840 1
Sc2 0.750 0.840 0.160 1

***

So which one is most stable? That would be one, about 12.7 kJ/mol of atoms below the next structure.

***

one.
# DyEr12Sc6 (GGA-PBE, optimized geometry)
# Space group: Im-3, No. 204
data_DyEr12Sc6
_chemical_formula_sum 'Dy1 Er12 Sc6'
_symmetry_space_group_name_H-M 'P 1'
_symmetry_Int_Tables_number 1
_cell_length_a 8.979
_cell_length_b 8.979
_cell_length_c 8.979
_cell_angle_alpha 109.47
_cell_angle_beta 109.47
_cell_angle_gamma 109.47
loop_
_symmetry_equiv_pos_as_xyz
'x,y,z'
loop_
_atom_site_label
_atom_site_fract_x
_atom_site_fract_y
_atom_site_fract_z
_atom_site_occupancy
Dy1 0.000 0.000 0.000 1
Er1 0.266 0.071 0.804 1
Er2 0.266 0.462 0.196 1
Er3 0.734 0.538 0.804 1
Er4 0.734 0.929 0.196 1
Er5 0.071 0.804 0.266 1
Er6 0.462 0.196 0.266 1
Er7 0.538 0.804 0.734 1
Er8 0.929 0.196 0.734 1
Er9 0.804 0.266 0.071 1
Er10 0.196 0.266 0.462 1
Er11 0.804 0.734 0.538 1
Er12 0.196 0.734 0.929 1
Sc1 0.362 0.500 0.862 1
Sc2 0.638 0.500 0.138 1
Sc3 0.500 0.862 0.362 1
Sc4 0.500 0.138 0.638 1
Sc5 0.862 0.362 0.500 1
Sc6 0.138 0.638 0.500 1

***

two.
# DyEr12Sc6 (GGA-PBE, optimized geometry)
# Space group: R-3m, No. 166
data_DyEr12Sc6
_chemical_formula_sum 'Dy1 Er12 Sc6'
_symmetry_space_group_name_H-M 'P 1'
_symmetry_Int_Tables_number 1
_cell_length_a 8.981
_cell_length_b 8.981
_cell_length_c 8.981
_cell_angle_alpha 107.57
_cell_angle_beta 107.57
_cell_angle_gamma 107.57
loop_
_symmetry_equiv_pos_as_xyz
'x,y,z'
loop_
_atom_site_label
_atom_site_fract_x
_atom_site_fract_y
_atom_site_fract_z
_atom_site_occupancy
Dy1 0.000 0.000 0.000 1
Er1 0.888 0.112 0.500 1
Er2 0.369 0.144 0.369 1
Er3 0.369 0.369 0.144 1
Er4 0.856 0.631 0.631 1
Er5 0.631 0.631 0.856 1
Er6 0.631 0.856 0.631 1
Er7 0.500 0.888 0.112 1
Er8 0.112 0.500 0.888 1
Er9 0.112 0.888 0.500 1
Er10 0.500 0.112 0.888 1
Er11 0.888 0.500 0.112 1
Er12 0.144 0.369 0.369 1
Sc1 0.689 0.276 0.689 1
Sc2 0.689 0.689 0.276 1
Sc3 0.276 0.689 0.689 1
Sc4 0.311 0.311 0.724 1
Sc5 0.311 0.724 0.311 1
Sc6 0.724 0.311 0.311 1

***

So which one is most stable? That would be one, about 18.9 kJ/mol of atoms below the next structure.